Density functional theory data (PBE) for a relaxed La2YMg5 crystal.

Calculated values
Mass density   3.62 g/cm³
Density of states at the Fermi level   1.1070 states/eV per atom
Total moment   0.0 μB per formula unit
DFT total energy   -3.123 eV/atom
Crystal system   tetragonal
Volume   28.0 Å³/atom

Geometry as CIF:
```
data_La2YMg5
_chemical_formula_sum 'La4 Y2 Mg10'
_cell_length_a 5.243
_cell_length_b 5.243
_cell_length_c 16.269
_cell_angle_alpha 90.00
_cell_angle_beta 90.00
_cell_angle_gamma 90.00
_space_group_name_H-M_alt 'I 4/m m m'
_space_group_IT_number 139
_space_group_name_Hall '-I 4 2'
loop_
_atom_site_label
_atom_site_type_symbol
_atom_site_fract_x
_atom_site_fract_y
_atom_site_fract_z
La1 La 0.000 0.000 0.240
Y1 Y 0.000 0.000 0.500
Mg1 Mg 0.000 0.000 0.000
Mg2 Mg 0.000 0.500 0.112
```

Density functional theory data (PBE) for a relaxed La3Y4Mg crystal.

Calculated values
Mass density   4.85 g/cm³
Density of states at the Fermi level   1.4392 states/eV per atom
Total moment   0.0 μB per formula unit
DFT total energy   -5.191 eV/atom
Crystal system   orthorhombic
Volume   34.1 Å³/atom

Geometry as CIF:
```
data_La3Y4Mg
_chemical_formula_sum 'La6 Y8 Mg2'
_cell_length_a 3.581
_cell_length_b 11.852
_cell_length_c 12.840
_cell_angle_alpha 90.00
_cell_angle_beta 90.00
_cell_angle_gamma 90.00
_space_group_name_H-M_alt 'I m m m'
_space_group_IT_number 71
_space_group_name_Hall '-I 2 2'
loop_
_atom_site_label
_atom_site_type_symbol
_atom_site_fract_x
_atom_site_fract_y
_atom_site_fract_z
La1 La 0.000 0.000 0.000
La2 La 0.000 0.500 0.236
Y1 Y 0.000 0.245 0.367
Mg1 Mg 0.000 0.000 0.500
```